1.
Below is KCa2Zr after structural relaxation, with properties calculated at the PBE-GGA level.

Cell lengths 8.012, 10.268, 3.588 Å; angles 90.00, 90.10, 90.00 degrees
Space group C2/m (No. 12)
Asymmetric unit:
K (0.000, 0.000, 0.000)
Ca (0.250, 0.250, 0.500)
Zr (0.000, 0.500, 0.000)

Properties
Total energy   -22.747 eV for the cell shown
V   36.901 A^3/atom
Energy of formation from the pure elements   0.569 eV/atom
Distance to the lowest polymorph of the same formula   242 meV per atom

=====

2.
Below is KCa2Zr after structural relaxation, with properties calculated at the PBE-GGA level.

Cell lengths 3.973, 5.748, 13.049 Å; angles 90.00, 90.00, 90.00 degrees
Space group Cmm2 (No. 35)
Asymmetric unit:
K (0.000, 0.000, 0.000)
Ca (0.000, 0.000, 0.540)
Ca (0.000, 0.500, 0.288)
Zr (0.000, 0.500, 0.746)

Properties
Total energy   -23.491 eV for the cell shown
V   37.250 A^3/atom
Energy of formation from the pure elements   0.476 eV/atom
Distance to the lowest polymorph of the same formula   150 meV per atom

=====

3.
Below is K3CaZr after structural relaxation, with properties calculated at the PBE-GGA level.

Cell lengths 6.761, 6.761, 6.761 Å; angles 90.00, 90.00, 90.00 degrees
Space group Pm-3m (No. 221)
Asymmetric unit:
K (0.000, 0.000, 0.500)
Ca (0.500, 0.500, 0.500)
Zr (0.000, 0.000, 0.000)

Properties
Total energy   -8.391 eV for the cell shown
V   61.824 A^3/atom
Energy of formation from the pure elements   1.090 eV/atom
Distance to the lowest polymorph of the same formula   0 meV per atom

=====

4.
Below is K2CaZr after structural relaxation, with properties calculated at the PBE-GGA level.

Cell lengths 4.989, 4.989, 28.320 Å; angles 90.00, 90.00, 90.00 degrees
Space group I-42d (No. 122)
Asymmetric unit:
K (0.243, 0.250, 0.125)
Ca (0.000, 0.000, 0.500)
Zr (0.000, 0.000, 0.000)

Properties
Total energy   -36.472 eV for the cell shown
V   44.059 A^3/atom
Energy of formation from the pure elements   0.907 eV/atom
Distance to the lowest polymorph of the same formula   389 meV per atom